1.
# PBE SnICl2, relaxed
# - energy relative to the lowest polymorph listed for this composition (eV/f.u.) = 0.56
# - E_form (uncorrected) (kJ per mole of atoms) = -36.4
# - DOS(E_F) (states/eV/cell) = 32.97
data_SnICl2
_symmetry_space_group_name_H-M 'I -4 2 d'
_symmetry_Int_Tables_number 122
_symmetry_space_group_name_Hall 'I -4 2bw'
_cell_length_a 8.386
_cell_length_b 8.386
_cell_length_c 11.922
_cell_angle_alpha 90.00
_cell_angle_beta 90.00
_cell_angle_gamma 90.00
loop_
_atom_site_label
_atom_site_type_symbol
_atom_site_fract_x
_atom_site_fract_y
_atom_site_fract_z
Sn1 Sn 0.000 0.000 0.000
I1 I 0.000 0.000 0.500
Cl1 Cl 0.072 0.250 0.125

2.
# PBE Sn2ICl4, relaxed
# - E_form (uncorrected) (kJ per mole of atoms) = -76.8
# - DOS(E_F) (states/eV/cell) = 0.00
data_Sn2ICl4
_symmetry_space_group_name_H-M 'P 1'
_symmetry_Int_Tables_number 1
_cell_length_a 8.022
_cell_length_b 8.237
_cell_length_c 9.940
_cell_angle_alpha 108.99
_cell_angle_beta 104.50
_cell_angle_gamma 105.49
loop_
_symmetry_equiv_pos_as_xyz
'x,y,z'
loop_
_atom_site_label
_atom_site_type_symbol
_atom_site_fract_x
_atom_site_fract_y
_atom_site_fract_z
Sn1 Sn 0.000 0.000 0.000
Sn2 Sn 0.040 0.429 0.800
Sn3 Sn 0.485 0.005 0.950
Sn4 Sn 0.955 0.508 0.408
I1 I 0.224 0.976 0.454
I2 I 0.795 0.184 0.482
Cl1 Cl 0.130 0.364 0.257
Cl2 Cl 0.214 0.861 0.174
Cl3 Cl 0.229 0.092 0.729
Cl4 Cl 0.275 0.591 0.704
Cl5 Cl 0.648 0.360 0.151
Cl6 Cl 0.705 0.054 0.807
Cl7 Cl 0.738 0.883 0.090
Cl8 Cl 0.861 0.647 0.772

3.
# PBE Sn3I4Cl2, relaxed
# - E_form (uncorrected) (kJ per mole of atoms) = -54.2
data_Sn3I4Cl2
_symmetry_space_group_name_H-M 'P -6 m 2'
_symmetry_Int_Tables_number 187
_symmetry_space_group_name_Hall 'P -6 2'
_cell_length_a 4.2920
_cell_length_b 4.2920
_cell_length_c 23.9586
_cell_angle_alpha 90.00
_cell_angle_beta 90.00
_cell_angle_gamma 120.00
loop_
_atom_site_label
_atom_site_type_symbol
_atom_site_fract_x
_atom_site_fract_y
_atom_site_fract_z
Sn1 Sn 0.0000 0.0000 0.0000
Sn2 Sn 0.3333 0.6667 0.3179
I1 I 0.0000 0.0000 0.2319
I2 I 0.0000 0.0000 0.4040
Cl1 Cl 0.3333 0.6667 0.0681

4.
# PBE Sn3I5Cl, relaxed
# - E_form (uncorrected) (kJ per mole of atoms) = -52.8
# - DOS(E_F) (states/eV/cell) = 0.00
data_Sn3I5Cl
_symmetry_space_group_name_H-M 'C m m m'
_symmetry_Int_Tables_number 65
_symmetry_space_group_name_Hall '-C 2 2'
_cell_length_a 10.796
_cell_length_b 30.922
_cell_length_c 4.624
_cell_angle_alpha 90.00
_cell_angle_beta 90.00
_cell_angle_gamma 90.00
loop_
_atom_site_label
_atom_site_type_symbol
_atom_site_fract_x
_atom_site_fract_y
_atom_site_fract_z
Sn1 Sn 0.000 0.000 0.000
Sn2 Sn 0.000 0.153 0.500
Sn3 Sn 0.000 0.329 0.000
Sn4 Sn 0.000 0.500 0.500
I1 I 0.000 0.223 0.000
I2 I 0.000 0.430 0.000
I3 I 0.204 0.000 0.500
I4 I 0.204 0.333 0.500
Cl1 Cl 0.000 0.094 0.000

5.
# PBE Sn2ICl2, relaxed
# - energy relative to the lowest polymorph listed for this composition (eV/f.u.) = 0.06
# - E_form (uncorrected) (kJ per mole of atoms) = -46.3
# - DOS(E_F) (states/eV/cell) = 5.94
data_Sn2ICl2
_symmetry_space_group_name_H-M 'P 4/m b m'
_symmetry_Int_Tables_number 127
_symmetry_space_group_name_Hall '-P 4 2ab'
_cell_length_a 8.971
_cell_length_b 8.971
_cell_length_c 3.694
_cell_angle_alpha 90.00
_cell_angle_beta 90.00
_cell_angle_gamma 90.00
loop_
_atom_site_label
_atom_site_type_symbol
_atom_site_fract_x
_atom_site_fract_y
_atom_site_fract_z
Sn1 Sn 0.190 0.310 0.000
I1 I 0.000 0.000 0.000
Cl1 Cl 0.139 0.639 0.500

6.
# PBE Sn3ICl12, relaxed
# - E_form (uncorrected) (kJ per mole of atoms) = -76.6
# - DOS(E_F) (states/eV/cell) = 68.95
data_Sn3ICl12
_symmetry_space_group_name_H-M 'R 3 c'
_symmetry_Int_Tables_number 161
_symmetry_space_group_name_Hall 'R 3 -2"c'
_cell_length_a 13.2394
_cell_length_b 13.2394
_cell_length_c 33.7443
_cell_angle_alpha 90.00
_cell_angle_beta 90.00
_cell_angle_gamma 120.00
loop_
_atom_site_label
_atom_site_type_symbol
_atom_site_fract_x
_atom_site_fract_y
_atom_site_fract_z
Sn1 Sn 0.0436 0.3440 0.0000
I1 I 0.0000 0.0000 0.1901
Cl1 Cl 0.0044 0.4558 0.2985
Cl2 Cl 0.0471 0.3409 0.3963
Cl3 Cl 0.0487 0.1949 0.3000
Cl4 Cl 0.0664 0.5004 0.1720

7.
# PBE SnI2Cl6, relaxed
# - E_form (uncorrected) (kJ per mole of atoms) = -54.9
# - DOS(E_F) (states/eV/cell) = 0.00
data_SnI2Cl6
_symmetry_space_group_name_H-M 'C 1 2/c 1'
_symmetry_Int_Tables_number 15
_cell_length_a 17.071
_cell_length_b 14.965
_cell_length_c 8.395
_cell_angle_alpha 90.00
_cell_angle_beta 113.26
_cell_angle_gamma 90.00
loop_
_symmetry_equiv_pos_as_xyz
'x,y,z'
'-x,-y,-z'
'-x,y,-z+1/2'
'x,-y,z+1/2'
'x+1/2,y+1/2,z'
'-x+1/2,-y+1/2,-z'
'-x+1/2,y+1/2,-z+1/2'
'x+1/2,-y+1/2,z+1/2'
loop_
_atom_site_label
_atom_site_type_symbol
_atom_site_fract_x
_atom_site_fract_y
_atom_site_fract_z
Sn1 Sn 0.000 0.130 0.250
I1 I 0.141 0.500 0.246
Cl1 Cl 0.061 0.220 0.105
Cl2 Cl 0.105 0.042 0.448
Cl3 Cl 0.141 0.400 0.496

8.
# PBE Sn5I3Cl12, relaxed
# - E_form (uncorrected) (kJ per mole of atoms) = -52.2
# - DOS(E_F) (states/eV/cell) = 148.48
data_Sn5I3Cl12
_symmetry_space_group_name_H-M 'I a -3 d'
_symmetry_Int_Tables_number 230
_symmetry_space_group_name_Hall '-I 4bd 2c 3'
_cell_length_a 18.517
_cell_length_b 18.517
_cell_length_c 18.517
_cell_angle_alpha 90.00
_cell_angle_beta 90.00
_cell_angle_gamma 90.00
loop_
_atom_site_label
_atom_site_type_symbol
_atom_site_fract_x
_atom_site_fract_y
_atom_site_fract_z
Sn1 Sn 0.000 0.000 0.000
Sn2 Sn 0.000 0.250 0.375
I1 I 0.000 0.250 0.125
Cl1 Cl 0.027 0.142 0.963

Question: Which formula does entry 8 have?
Answer: Sn5I3Cl12